VASP calculation (GGA-PBE) on Hf2VP after structural relaxation.

- total energy (eV per atom) = -8.5368
- total magnetic moment (μB per formula unit) = 2.1
- E_form (meV/atom) = 72
- mass density (g cm⁻³) = 9.54

Cell: 7.399 7.399 5.581 Å, 90.00 90.00 90.00°
Space group I-42d (No. 122)
Asymmetric unit:
1 Hf 0.215 0.250 0.125 [8 per cell]
2 V 0.000 0.000 0.500 [4 per cell]
3 P 0.000 0.000 0.000 [4 per cell]